1.
The following is a GGA-PBE calculation of crystalline CsHg2Bi at its relaxed geometry, from Alexandria via LeMat-Bulk.

a b c (Å): 6.2675 6.2675 4.1471
angles (deg): 90.00 90.00 90.00
Space group P4/mmm (No. 123)
Asymmetric unit:
Cs 0.0000 0.0000 0.0000 [1 per cell]
Hg 0.0000 0.5000 0.5000 [2 per cell]
Bi 0.5000 0.5000 0.5000 [1 per cell]

The total moment is 0.0 Bohr magnetons per cell. The value obtained for the total energy is -1.41 eV/atom.



2.
The following is a GGA-PBE calculation of crystalline Cs5Hg12Bi3 at its relaxed geometry, from Alexandria via LeMat-Bulk.

a b c (Å): 20.0468 20.0468 20.0468
angles (deg): 90.00 90.00 90.00
Space group Ia-3d (No. 230)
Asymmetric unit:
Cs 0.0000 0.0000 0.0000 [16 per cell]
Cs 0.0000 0.2500 0.3750 [24 per cell]
Hg 0.0007 0.0928 0.1516 [96 per cell]
Bi 0.0000 0.2500 0.1250 [24 per cell]

The total moment is 0.0 Bohr magnetons per cell. The value obtained for the total energy is -1.03 eV/atom.